# NiMo2WF

A PBEsol-optimized structure of NiMo2WF (meta-GGA SCAN, Alexandria).

Unit cell a=4.0412 b=4.0412 c=4.1055 alpha=90.00 beta=90.00 gamma=90.00
With the nearest neighbours (Å) after each atom.
Fractional coordinates of all 5 atoms:
Mo 0.0000 0.5000 0.0000  2 F 2.02
Mo 0.5000 0.0000 0.0000  2 F 2.02
W 0.0000 0.0000 0.5000  2 F 2.05
F 0.0000 0.0000 0.0000  4 Mo 2.02, 2 W 2.05
Ni 0.5000 0.5000 0.5000  4 W 2.86, 8 Mo 2.88

Calculated values
**Raw formation energy**: 802 meV/atom
**Space group**: No. 123
**Calculated volume**: 13.4 Å³ per atom
**Energy**: -31.0321 eV per atom
**Spin magnetization**: 0.0 μB/f.u.